[1]
Crystalline PtCl3 at its relaxed geometry. Source: the Alexandria database, functional GGA-PBE.

Geometry as CIF:
```
data_PtCl3
_chemical_formula_sum 'Pt2 Cl6'
_symmetry_space_group_name_H-M 'P 1'
_symmetry_Int_Tables_number 1
_symmetry_space_group_name_Hall 'P 1'
_cell_length_a 8.7423
_cell_length_b 8.7423
_cell_length_c 6.6654
_cell_angle_alpha 49.02
_cell_angle_beta 49.02
_cell_angle_gamma 90.00
loop_
_atom_site_label
_atom_site_type_symbol
_atom_site_fract_x
_atom_site_fract_y
_atom_site_fract_z
Cl1 Cl 0.7699 0.1250 0.2500
Cl2 Cl 0.2500 0.7500 0.5000
Pt1 Pt 0.0000 0.0000 0.0000
Cl3 Cl 0.5000 0.5000 0.0000
Cl4 Cl 0.8750 0.0199 0.7500
Pt2 Pt 0.7500 0.2500 0.5000
Cl5 Cl 0.3750 0.2301 0.7500
Cl6 Cl 0.9801 0.6250 0.2500
```

Symmetry = No. 122
Magnetic moment = 0.00 μB/cell
DFT total energy = -2.91 eV per atom
Raw formation energy = -0.01 eV/atom

[2]
Crystalline SrCd2Ni2 at its relaxed geometry. Source: the Alexandria database, functional GGA-PBE.

Geometry as CIF:
```
data_SrCd2Ni2
_chemical_formula_sum 'Sr2 Cd4 Ni4'
_symmetry_space_group_name_H-M 'P 1'
_symmetry_Int_Tables_number 1
_symmetry_space_group_name_Hall 'P 1'
_cell_length_a 8.0084
_cell_length_b 8.0084
_cell_length_c 3.0261
_cell_angle_alpha 90.00
_cell_angle_beta 90.00
_cell_angle_gamma 90.00
loop_
_atom_site_label
_atom_site_type_symbol
_atom_site_fract_x
_atom_site_fract_y
_atom_site_fract_z
Ni1 Ni 0.3291 0.1709 0.5000
Sr1 Sr 0.0000 0.0000 0.0000
Ni2 Ni 0.8291 0.3291 0.5000
Cd1 Cd 0.1259 0.3741 0.0000
Ni3 Ni 0.1709 0.6709 0.5000
Cd2 Cd 0.6259 0.1259 0.0000
Cd3 Cd 0.8741 0.6259 0.0000
Ni4 Ni 0.6709 0.8291 0.5000
Sr2 Sr 0.5000 0.5000 0.0000
Cd4 Cd 0.3741 0.8741 0.0000
```

Symmetry = No. 127
Magnetic moment = 0.00 μB/cell
DFT total energy = -2.92 eV per atom
E_form = 0.5 eV/f.u.

[3]
Crystalline RbBa2Hg10 at its relaxed geometry. Source: the Alexandria database, functional GGA-PBE.

Geometry as CIF:
```
data_RbBa2Hg10
_chemical_formula_sum 'Rb2 Ba4 Hg20'
_symmetry_space_group_name_H-M 'P 1'
_symmetry_Int_Tables_number 1
_symmetry_space_group_name_Hall 'P 1'
_cell_length_a 6.3378
_cell_length_b 7.3283
_cell_length_c 21.8247
_cell_angle_alpha 90.00
_cell_angle_beta 90.00
_cell_angle_gamma 90.00
loop_
_atom_site_label
_atom_site_type_symbol
_atom_site_fract_x
_atom_site_fract_y
_atom_site_fract_z
Hg1 Hg 0.7334 0.6530 0.6604
Hg2 Hg 0.2666 0.8470 0.1604
Ba1 Ba 0.5000 0.6310 0.8160
Hg3 Hg 0.2666 0.1530 0.8396
Hg4 Hg 0.0000 0.0493 0.2752
Hg5 Hg 0.0000 0.0479 0.4301
Hg6 Hg 0.2666 0.3470 0.3396
Hg7 Hg 0.0000 0.1919 0.1453
Hg8 Hg 0.7334 0.3470 0.3396
Hg9 Hg 0.0000 0.8081 0.8547
Rb1 Rb 0.0000 0.0000 0.0000
Hg10 Hg 0.0000 0.4521 0.9301
Ba2 Ba 0.5000 0.1310 0.6840
Hg11 Hg 0.0000 0.6919 0.3547
Rb2 Rb 0.0000 0.5000 0.5000
Hg12 Hg 0.0000 0.4507 0.7752
Hg13 Hg 0.0000 0.9507 0.7248
Hg14 Hg 0.7334 0.8470 0.1604
Hg15 Hg 0.7334 0.1530 0.8396
Hg16 Hg 0.0000 0.5479 0.0699
Hg17 Hg 0.2666 0.6530 0.6604
Ba3 Ba 0.5000 0.3690 0.1840
Hg18 Hg 0.0000 0.5493 0.2248
Ba4 Ba 0.5000 0.8690 0.3160
Hg19 Hg 0.0000 0.9521 0.5699
Hg20 Hg 0.0000 0.3081 0.6453
```

Symmetry = No. 55
Magnetic moment = 0.00 μB/cell
DFT total energy = -0.82 eV per atom
E_form = -2.8 eV/f.u.

[4]
Crystalline PaTi2Zn3 at its relaxed geometry. Source: the Alexandria database, functional GGA-PBE.

Geometry as CIF:
```
data_PaTi2Zn3
_chemical_formula_sum 'Pa1 Ti2 Zn3'
_symmetry_space_group_name_H-M 'P 1'
_symmetry_Int_Tables_number 1
_symmetry_space_group_name_Hall 'P 1'
_cell_length_a 2.9454
_cell_length_b 2.9454
_cell_length_c 11.8490
_cell_angle_alpha 90.00
_cell_angle_beta 90.00
_cell_angle_gamma 90.00
loop_
_atom_site_label
_atom_site_type_symbol
_atom_site_fract_x
_atom_site_fract_y
_atom_site_fract_z
Ti1 Ti 0.5000 0.5000 0.8464
Zn1 Zn 0.0000 0.0000 0.6937
Pa1 Pa 0.5000 0.5000 0.5000
Zn2 Zn 0.0000 0.0000 0.0000
Ti2 Ti 0.5000 0.5000 0.1536
Zn3 Zn 0.0000 0.0000 0.3063
```

Symmetry = No. 123
Magnetic moment = 0.34 μB/cell
DFT total energy = -4.97 eV per atom
E_form = -0.7 eV/f.u.

[5]
Crystalline SrBe2P at its relaxed geometry. Source: the Alexandria database, functional GGA-PBE.

Geometry as CIF:
```
data_SrBe2P
_chemical_formula_sum 'Sr1 Be2 P1'
_symmetry_space_group_name_H-M 'P 1'
_symmetry_Int_Tables_number 1
_symmetry_space_group_name_Hall 'P 1'
_cell_length_a 5.0658
_cell_length_b 5.0658
_cell_length_c 5.0658
_cell_angle_alpha 131.45
_cell_angle_beta 131.45
_cell_angle_gamma 71.09
loop_
_atom_site_label
_atom_site_type_symbol
_atom_site_fract_x
_atom_site_fract_y
_atom_site_fract_z
Be1 Be 0.0000 0.0000 0.0000
Sr1 Sr 0.7500 0.2500 0.5000
Be2 Be 0.5000 0.5000 0.0000
P1 P 0.2500 0.7500 0.5000
```

Symmetry = No. 139
Magnetic moment = 0.00 μB/cell
DFT total energy = -3.10 eV per atom
E_form = 2.1 eV/f.u.

[6]
Crystalline Ac2Cd12Hg5 at its relaxed geometry. Source: the Alexandria database, functional GGA-PBE.

Geometry as CIF:
```
data_Ac2Cd12Hg5
_chemical_formula_sum 'Ac2 Cd12 Hg5'
_symmetry_space_group_name_H-M 'P 1'
_symmetry_Int_Tables_number 1
_symmetry_space_group_name_Hall 'P 1'
_cell_length_a 7.8225
_cell_length_b 7.8225
_cell_length_c 7.8225
_cell_angle_alpha 83.05
_cell_angle_beta 83.05
_cell_angle_gamma 83.05
loop_
_atom_site_label
_atom_site_type_symbol
_atom_site_fract_x
_atom_site_fract_y
_atom_site_fract_z
Hg1 Hg 0.5000 0.0000 0.0000
Hg2 Hg 0.0000 0.0000 0.5000
Hg3 Hg 0.0993 0.0993 0.0993
Cd1 Cd 0.6422 0.1675 0.6422
Cd2 Cd 0.3005 0.6995 0.0000
Hg4 Hg 0.0000 0.5000 0.0000
Cd3 Cd 0.3578 0.8325 0.3578
Cd4 Cd 0.6995 0.3005 0.0000
Cd5 Cd 0.6995 0.0000 0.3005
Cd6 Cd 0.8325 0.3578 0.3578
Cd7 Cd 0.3578 0.3578 0.8325
Cd8 Cd 0.6422 0.6422 0.1675
Cd9 Cd 0.3005 0.0000 0.6995
Cd10 Cd 0.0000 0.3005 0.6995
Cd11 Cd 0.1675 0.6422 0.6422
Ac1 Ac 0.6697 0.6697 0.6697
Cd12 Cd 0.0000 0.6995 0.3005
Ac2 Ac 0.3303 0.3303 0.3303
Hg5 Hg 0.9007 0.9007 0.9007
```

Symmetry = No. 166
Magnetic moment = 0.00 μB/cell
DFT total energy = -1.25 eV per atom
E_form = -3.1 eV/f.u.

[7]
Crystalline CdSbH2I at its relaxed geometry. Source: the Alexandria database, functional GGA-PBE.

Geometry as CIF:
```
data_CdSbH2I
_chemical_formula_sum 'Cd1 Sb1 H2 I1'
_symmetry_space_group_name_H-M 'P 1'
_symmetry_Int_Tables_number 1
_symmetry_space_group_name_Hall 'P 1'
_cell_length_a 4.2342
_cell_length_b 5.9411
_cell_length_c 4.2342
_cell_angle_alpha 90.00
_cell_angle_beta 90.00
_cell_angle_gamma 90.00
loop_
_atom_site_label
_atom_site_type_symbol
_atom_site_fract_x
_atom_site_fract_y
_atom_site_fract_z
Sb1 Sb 0.0000 0.0000 0.0000
Cd1 Cd 0.0000 0.5000 0.0000
I1 I 0.5000 0.5000 0.5000
H1 H 0.5000 0.0000 0.0000
H2 H 0.0000 0.0000 0.5000
```

Symmetry = No. 123
Magnetic moment = 0.00 μB/cell
DFT total energy = -2.53 eV per atom

[8]
Crystalline Tl2ZnGaBi2 at its relaxed geometry. Source: the Alexandria database, functional GGA-PBE.

Geometry as CIF:
```
data_Tl2ZnGaBi2
_chemical_formula_sum 'Tl4 Zn2 Ga2 Bi4'
_symmetry_space_group_name_H-M 'P 1'
_symmetry_Int_Tables_number 1
_symmetry_space_group_name_Hall 'P 1'
_cell_length_a 6.9656
_cell_length_b 6.9520
_cell_length_c 8.9376
_cell_angle_alpha 112.89
_cell_angle_beta 112.93
_cell_angle_gamma 90.00
loop_
_atom_site_label
_atom_site_type_symbol
_atom_site_fract_x
_atom_site_fract_y
_atom_site_fract_z
Bi1 Bi 0.8556 0.1114 0.2228
Bi2 Bi 0.6328 0.3886 0.7772
Bi3 Bi 0.1444 0.8886 0.7772
Tl1 Tl 0.4094 0.1592 0.3183
Ga1 Ga 0.0000 0.2500 0.0000
Ga2 Ga 0.0000 0.7500 0.0000
Tl2 Tl 0.9089 0.6592 0.3183
Tl3 Tl 0.5906 0.8408 0.6817
Tl4 Tl 0.0911 0.3408 0.6817
Zn1 Zn 0.5000 0.2500 0.0000
Bi4 Bi 0.3672 0.6114 0.2228
Zn2 Zn 0.5000 0.7500 0.0000
```

Symmetry = No. 72
Magnetic moment = 0.00 μB/cell
DFT total energy = -2.77 eV per atom
E_form = 0.2 eV/f.u.

[9]
Crystalline PmSm4Ho3 at its relaxed geometry. Source: the Alexandria database, functional GGA-PBE.

Geometry as CIF:
```
data_PmSm4Ho3
_chemical_formula_sum 'Pm2 Sm8 Ho6'
_symmetry_space_group_name_H-M 'P 1'
_symmetry_Int_Tables_number 1
_symmetry_space_group_name_Hall 'P 1'
_cell_length_a 6.3156
_cell_length_b 7.3141
_cell_length_c 11.4962
_cell_angle_alpha 90.00
_cell_angle_beta 90.00
_cell_angle_gamma 90.00
loop_
_atom_site_label
_atom_site_type_symbol
_atom_site_fract_x
_atom_site_fract_y
_atom_site_fract_z
Sm1 Sm 0.1451 0.8727 0.0000
Ho1 Ho 0.1477 0.3775 0.5000
Sm2 Sm 0.1502 0.8728 0.5000
Sm3 Sm 0.6451 0.1273 0.5000
Sm4 Sm 0.6502 0.1272 0.0000
Pm1 Pm 0.1481 0.3756 0.0000
Ho2 Ho 0.4807 0.3770 0.7500
Ho3 Ho 0.4807 0.3770 0.2500
Sm5 Sm 0.4814 0.8740 0.2476
Sm6 Sm 0.4814 0.8740 0.7524
Sm7 Sm 0.9814 0.1260 0.2524
Pm2 Pm 0.6481 0.6244 0.5000
Sm8 Sm 0.9814 0.1260 0.7476
Ho4 Ho 0.9807 0.6230 0.2500
Ho5 Ho 0.6477 0.6225 0.0000
Ho6 Ho 0.9807 0.6230 0.7500
```

Symmetry = No. 31
Magnetic moment = 0.00 μB/cell
DFT total energy = -4.65 eV per atom
E_form = 0.2 eV/f.u.

[10]
Crystalline CaScCuIr at its relaxed geometry. Source: the Alexandria database, functional GGA-PBE.

Geometry as CIF:
```
data_CaScCuIr
_chemical_formula_sum 'Ca1 Sc1 Cu1 Ir1'
_symmetry_space_group_name_H-M 'P 1'
_symmetry_Int_Tables_number 1
_symmetry_space_group_name_Hall 'P 1'
_cell_length_a 4.7212
_cell_length_b 4.7212
_cell_length_c 4.7212
_cell_angle_alpha 60.00
_cell_angle_beta 60.00
_cell_angle_gamma 60.00
loop_
_atom_site_label
_atom_site_type_symbol
_atom_site_fract_x
_atom_site_fract_y
_atom_site_fract_z
Cu1 Cu 0.2500 0.2500 0.2500
Ca1 Ca 0.0000 0.0000 0.0000
Sc1 Sc 0.5000 0.5000 0.5000
Ir1 Ir 0.7500 0.7500 0.7500
```

Symmetry = No. 216
Magnetic moment = 0.00 μB/cell
DFT total energy = -5.69 eV per atom
E_form = -1.5 eV/f.u.

Question: What is the formula in the seventh record?
Answer: CdSbH2I